[1]
A relaxed LaHoNpO6 crystal. Source: Alexandria via LeMat-Bulk, functional PBE-GGA.

- formation energy (no corrections) (meV per atom) = -3242
- crystal system = trigonal
- DFT total energy (eV per atom) = -9.04

Cell: 5.787 5.787 9.942 Å, 90.00 90.00 120.00°
Each line ends with the local moment (μB).
Sites, in units of the cell vectors:
O1 0.976 0.343 0.139  -0.03
O2 0.367 0.024 0.139  -0.03
Np1 0.667 0.333 0.250  1.21
O3 0.633 0.657 0.639  -0.03
La1 0.000 0.000 0.500  -0.01
O4 0.976 0.633 0.361  -0.03
O5 0.024 0.657 0.861  -0.03
Ho1 0.667 0.333 0.750  0.00
Ho2 0.333 0.667 0.250  0.00
O6 0.367 0.343 0.361  -0.03
La2 0.000 0.000 0.000  -0.01
Np2 0.333 0.667 0.750  1.21
O7 0.343 0.976 0.639  -0.03
O8 0.633 0.976 0.861  -0.03
O9 0.343 0.367 0.861  -0.03
O10 0.657 0.024 0.361  -0.03
O11 0.024 0.367 0.639  -0.03
O12 0.657 0.633 0.139  -0.03



[2]
A relaxed UFe3Ge3 crystal. Source: Alexandria via LeMat-Bulk, functional PBE-GGA.

- crystal system = cubic
- energy of formation from the pure elements (eV/atom) = 0.456
- excess energy over the best structure of this formula in the dataset (eV/f.u.) = 3.714
- DFT total energy (eV per atom) = -6.76

Cell: 6.450 6.450 6.450 Å, 90.00 90.00 90.00°
Each line ends with the local moment (μB).
Sites, in units of the cell vectors:
Ge1 0.500 0.250 0.000  -0.08
Ge2 0.000 0.500 0.250  -0.08
U1 0.500 0.500 0.500  2.72
Fe1 0.000 0.250 0.500  1.79
Fe2 0.500 0.000 0.750  1.79
Fe3 0.250 0.500 0.000  1.79
Ge3 0.000 0.500 0.750  -0.08
U2 0.000 0.000 0.000  2.72
Fe4 0.000 0.750 0.500  1.79
Ge4 0.500 0.750 0.000  -0.08
Ge5 0.250 0.000 0.500  -0.08
Ge6 0.750 0.000 0.500  -0.08
Fe5 0.500 0.000 0.250  1.79
Fe6 0.750 0.500 0.000  1.79



[3]
A relaxed Ru2Pt2Pb crystal. Source: Alexandria via LeMat-Bulk, functional PBE-GGA.

- crystal system = tetragonal
- energy of formation from the pure elements (eV/atom) = 0.324
- DFT total energy (eV per atom) = -6.54

Cell: 6.953 6.953 3.626 Å, 90.00 90.00 90.00°
Sites, in units of the cell vectors:
Pt1 0.337 0.163 0.500
Ru1 0.625 0.125 0.000
Pb1 0.500 0.500 0.000
Pt2 0.663 0.837 0.500
Ru2 0.375 0.875 0.000
Pb2 0.000 0.000 0.000
Ru3 0.875 0.625 0.000
Ru4 0.125 0.375 0.000
Pt3 0.163 0.663 0.500
Pt4 0.837 0.337 0.500



[4]
A relaxed MgBeRh2 crystal. Source: Alexandria via LeMat-Bulk, functional PBE-GGA.

- crystal system = cubic
- energy of formation from the pure elements (eV/atom) = -0.407
- excess energy over the best structure of this formula in the dataset (eV/f.u.) = 0.326
- DFT total energy (eV per atom) = -5.41

Cell: 4.184 4.184 4.184 Å, 60.00 60.00 60.00°
Sites, in units of the cell vectors:
Mg1 0.500 0.500 0.500
Be1 0.000 0.000 0.000
Rh1 0.250 0.250 0.250
Rh2 0.750 0.750 0.750



[5]
A relaxed BeHg2Cl crystal. Source: Alexandria via LeMat-Bulk, functional PBE-GGA.

- formation energy (no corrections) (meV per atom) = 82
- crystal system = tetragonal
- excess energy over the best structure of this formula in the dataset (eV/f.u.) = 1.129
- DFT total energy (eV per atom) = -1.46

Cell: 6.590 6.590 6.853 Å, 61.26 61.26 90.00°
Sites, in units of the cell vectors:
Be1 0.500 0.500 0.000
Hg1 0.194 0.625 0.250
Hg2 0.556 0.125 0.250
Hg3 0.875 0.806 0.750
Hg4 0.375 0.444 0.750
Cl1 0.750 0.250 0.500
Cl2 0.000 0.000 0.000
Be2 0.250 0.750 0.500



[6]
A relaxed SrPr2Ni crystal. Source: Alexandria via LeMat-Bulk, functional PBE-GGA.

- crystal system = trigonal
- energy of formation from the pure elements (eV/atom) = -0.056
- excess energy over the best structure of this formula in the dataset (eV/f.u.) = 0.000
- DFT total energy (eV per atom) = -4.31

Cell: 4.145 4.145 10.084 Å, 78.14 78.14 60.00°
Sites, in units of the cell vectors:
Ni1 0.666 0.666 0.002
Pr1 0.282 0.282 0.153
Sr1 0.501 0.501 0.496
Pr2 0.050 0.050 0.849